Entry 1:
Density functional theory data (PBE) for a relaxed MnAl2Si crystal.

Cell lengths 4.4052, 4.4052, 2.8453 Å; angles 90.00, 90.00, 90.00 degrees
With the nearest neighbours (Å) after each atom.
Space group P4/mmm (No. 123)
Symmetry-distinct sites (fractional):
Mn (0.0000, 0.0000, 0.0000) x1  8 Al 2.62, 2 Mn 2.85
Al (0.0000, 0.5000, 0.5000) x2  4 Mn 2.62, 4 Si 2.62, 2 Al 2.85
Si (0.5000, 0.5000, 0.0000) x1  8 Al 2.62, 2 Si 2.85

Calculated values
Total magnetic moment in μB per formula unit: 1.6
V in Å³ per cell: 55.2
Electronic total energy in eV for the cell shown: -22.01
Formation energy from raw total energies in kcal/mol of atoms: 0.378

Entry 2:
Density functional theory data (PBE) for a relaxed MnAl3Si crystal.

Cell lengths 4.5303, 4.5303, 4.5303 Å; angles 90.00, 90.00, 90.00 degrees
With the nearest neighbours (Å) after each atom.
Space group Pm-3m (No. 221)
Symmetry-distinct sites (fractional):
Mn (0.0000, 0.0000, 0.0000) x1  6 Al 2.27
Al (0.0000, 0.0000, 0.5000) x3  2 Mn 2.27
Si (0.5000, 0.5000, 0.5000) x1  12 Al 3.20

Calculated values
Total magnetic moment in μB per formula unit: 0.0
V in Å³ per cell: 93.0
Polymorph energy (0 for the lowest one) in meV per atom: 0
Electronic total energy in eV for the cell shown: -23.18
Formation energy from raw total energies in kcal/mol of atoms: 12.158

Entry 3:
Density functional theory data (PBE) for a relaxed Mn2AlSi crystal.

Cell lengths 2.6880, 2.6880, 23.8093 Å; angles 90.00, 90.00, 120.00 degrees
With the nearest neighbours (Å) after each atom.
Space group R3m (No. 160, hexagonal axes)
Symmetry-distinct sites (fractional):
Mn (0.0000, 0.0000, 0.0000) x3  3 Mn 2.39, 3 Si 2.40
Mn (0.0000, 0.0000, 0.2569) x3  3 Mn 2.39, 3 Al 2.53
Al (0.0000, 0.0000, 0.5065) x3  3 Mn 2.53, 6 Al 2.69, 3 Si 2.77
Si (0.0000, 0.0000, 0.7434) x3  3 Mn 2.40

Calculated values
Total magnetic moment in μB per formula unit: 0.9
V in Å³ per cell: 149.0
Electronic total energy in eV for the cell shown: -83.07
Formation energy from raw total energies in kcal/mol of atoms: -1.061

Entry 4:
Density functional theory data (PBE) for a relaxed MnAlSi2 crystal.

Cell lengths 2.8527, 2.8527, 22.9986 Å; angles 90.00, 90.00, 120.00 degrees
With the nearest neighbours (Å) after each atom.
Space group R3m (No. 160, hexagonal axes)
Symmetry-distinct sites (fractional):
Mn (0.0000, 0.0000, 0.0000) x3  3 Si 2.35, 3 Al 2.52
Al (0.0000, 0.0000, 0.7497) x3  3 Mn 2.52, 3 Si 2.70
Si (0.0000, 0.0000, 0.2602) x3  3 Mn 2.35, 3 Si 2.55
Si (0.0000, 0.0000, 0.5091) x3  3 Si 2.55, 3 Al 2.70

Calculated values
Total magnetic moment in μB per formula unit: 0.7
V in Å³ per cell: 162.1
Electronic total energy in eV for the cell shown: -70.17
Formation energy from raw total energies in kcal/mol of atoms: 2.120

Entry 5:
Density functional theory data (PBE) for a relaxed MnAlSi2 crystal.

Cell lengths 2.6902, 2.6902, 7.4424 Å; angles 90.00, 90.00, 90.00 degrees
With the nearest neighbours (Å) after each atom.
Space group P4mm (No. 99)
Symmetry-distinct sites (fractional):
Mn (0.0000, 0.0000, 0.0000) x1  4 Si 2.49, 4 Al 2.60, 4 Mn 2.69
Al (0.5000, 0.5000, 0.7623) x1  4 Mn 2.60, 4 Al 2.69, 4 Si 2.82
Si (0.0000, 0.0000, 0.4834) x1  8 Si 2.69-2.76, 4 Al 2.82
Si (0.5000, 0.5000, 0.2153) x1  4 Mn 2.49, 8 Si 2.69-2.76

Calculated values
Total magnetic moment in μB per formula unit: 2.0
V in Å³ per cell: 53.9
Electronic total energy in eV for the cell shown: -23.62
Formation energy from raw total energies in kcal/mol of atoms: 0.787

Entry 6:
Density functional theory data (PBE) for a relaxed MnAl2Si crystal.

Cell lengths 4.0554, 2.8420, 9.5801 Å; angles 90.00, 90.00, 90.00 degrees
With the nearest neighbours (Å) after each atom.
Space group Amm2 (No. 38)
Symmetry-distinct sites (fractional):
Mn (0.0000, 0.0000, 0.0000) x2  2 Si 2.37, 3 Al 2.55-2.65
Al (0.0000, 0.0000, 0.7340) x2  3 Mn 2.55-2.65, 4 Si 2.68, 2 Al 2.84
Al (0.5000, 0.0000, 0.3959) x2  3 Si 2.56-2.64, 4 Mn 2.67, 2 Al 2.84
Si (0.5000, 0.0000, 0.1283) x2  2 Mn 2.37, 3 Al 2.56-2.64

Calculated values
Total magnetic moment in μB per formula unit: 1.3
V in Å³ per cell: 110.4
Electronic total energy in eV for the cell shown: -45.18
Formation energy from raw total energies in kcal/mol of atoms: -2.952

Entry 7:
Density functional theory data (PBE) for a relaxed MnAlSi2 crystal.

Cell lengths 3.6405, 3.6405, 7.5485 Å; angles 90.00, 90.00, 90.00 degrees
With the nearest neighbours (Å) after each atom.
Space group I-4m2 (No. 119)
Symmetry-distinct sites (fractional):
Mn (0.0000, 0.0000, 0.0000) x2  8 Si 2.57-2.62, 4 Al 2.62
Al (0.0000, 0.5000, 0.2500) x2  8 Si 2.57-2.62, 4 Mn 2.62
Si (0.0000, 0.0000, 0.5000) x2  4 Mn 2.57, 4 Al 2.62, 4 Si 2.62
Si (0.0000, 0.5000, 0.7500) x2  4 Al 2.57, 4 Mn 2.62, 4 Si 2.62

Calculated values
Total magnetic moment in μB per formula unit: 0.1
V in Å³ per cell: 100.0
Electronic total energy in eV for the cell shown: -46.97
Formation energy from raw total energies in kcal/mol of atoms: 1.563

Entry 8:
Density functional theory data (PBE) for a relaxed MnAlSi2 crystal.

Cell lengths 8.7843, 2.7224, 4.3524 Å; angles 90.00, 96.57, 90.00 degrees
With the nearest neighbours (Å) after each atom.
Space group Cm (No. 8)
Symmetry-distinct sites (fractional):
Mn (0.0000, 0.0000, 0.0000) x2  7 Si 2.54-2.65, 3 Al 2.62-2.67, 2 Mn 2.72
Al (0.2561, 0.0000, 0.7434) x2  7 Si 2.50-2.76, 3 Mn 2.62-2.67, 2 Al 2.72
Si (0.2335, 0.5000, 0.2283) x2  3 Si 2.48-2.72, 4 Al 2.54-2.61, 3 Mn 2.56-2.65
Si (0.4986, 0.0000, 0.4933) x2  3 Si 2.48-2.72, 3 Al 2.50-2.76, 4 Mn 2.54-2.59

Calculated values
Total magnetic moment in μB per formula unit: 1.4
V in Å³ per cell: 103.4
Electronic total energy in eV for the cell shown: -47.53
Formation energy from raw total energies in kcal/mol of atoms: -0.032

Entry 9:
Density functional theory data (PBE) for a relaxed MnAl2Si crystal.

Cell lengths 8.9857, 8.9857, 4.3718 Å; angles 90.00, 90.00, 90.00 degrees
With the nearest neighbours (Å) after each atom.
Space group I4_1/amd (No. 141, origin choice 2)
Symmetry-distinct sites (fractional):
Mn (0.0000, 0.2500, 0.3750) x4  2 Si 2.19, 4 Al 2.31
Al (0.0000, 0.0000, 0.5000) x8  2 Mn 2.31
Si (0.0000, 0.2500, 0.8750) x4  2 Mn 2.19

Calculated values
Total magnetic moment in μB per formula unit: 0.6
V in Å³ per cell: 353.0
Electronic total energy in eV for the cell shown: -84.18
Formation energy from raw total energies in kcal/mol of atoms: 5.951

Entry 10:
Density functional theory data (PBE) for a relaxed Mn2AlSi crystal.

Cell lengths 2.9620, 2.9620, 5.4567 Å; angles 90.00, 90.00, 90.00 degrees
With the nearest neighbours (Å) after each atom.
Space group P4mm (No. 99)
Symmetry-distinct sites (fractional):
Mn (0.0000, 0.0000, 0.0000) x1  4 Al 2.45, 4 Mn 2.58, 1 Si 2.60
Mn (0.5000, 0.5000, 0.2759) x1  4 Si 2.37, 4 Mn 2.58
Al (0.5000, 0.5000, 0.7653) x1  5 Mn 2.45-2.67, 4 Si 2.62
Si (0.0000, 0.0000, 0.4773) x1  5 Mn 2.37-2.60, 4 Al 2.62

Calculated values
Total magnetic moment in μB per formula unit: 1.0
V in Å³ per cell: 47.9
Electronic total energy in eV for the cell shown: -28.29
Formation energy from raw total energies in kcal/mol of atoms: -4.535

Entry 11:
Density functional theory data (PBE) for a relaxed MnAlSi2 crystal.

Cell lengths 5.9808, 5.9808, 5.9808 Å; angles 90.00, 90.00, 90.00 degrees
With the nearest neighbours (Å) after each atom.
Space group F-43m (No. 216)
Symmetry-distinct sites (fractional):
Mn (0.0000, 0.0000, 0.0000) x4  4 Al 2.59, 4 Si 2.59
Al (0.2500, 0.2500, 0.7500) x4  4 Mn 2.59, 4 Si 2.59
Si (0.0000, 0.0000, 0.5000) x4  4 Al 2.59, 4 Si 2.59
Si (0.2500, 0.2500, 0.2500) x4  4 Mn 2.59, 4 Si 2.59

Calculated values
Total magnetic moment in μB per formula unit: 1.8
V in Å³ per cell: 213.9
Electronic total energy in eV for the cell shown: -90.52
Formation energy from raw total energies in kcal/mol of atoms: 6.499

Entry 12:
Density functional theory data (PBE) for a relaxed MnAl2Si crystal.

Cell lengths 5.1492, 7.6619, 2.8264 Å; angles 90.00, 90.00, 90.00 degrees
With the nearest neighbours (Å) after each atom.
Space group Cmmm (No. 65)
Symmetry-distinct sites (fractional):
Mn (0.0000, 0.0000, 0.0000) x2  2 Si 2.57, 8 Al 2.71, 2 Mn 2.83
Al (0.2500, 0.2500, 0.5000) x4  4 Al 2.57-2.83, 4 Mn 2.71, 4 Si 2.71
Si (0.0000, 0.5000, 0.0000) x2  2 Mn 2.57, 8 Al 2.71, 2 Si 2.83

Calculated values
Total magnetic moment in μB per formula unit: 2.3
V in Å³ per cell: 111.5
Electronic total energy in eV for the cell shown: -44.58
Formation energy from raw total energies in kcal/mol of atoms: -1.224

Entry 13:
Density functional theory data (PBE) for a relaxed MnAl2Si crystal.

Cell lengths 2.8394, 2.8394, 24.5167 Å; angles 90.00, 90.00, 120.00 degrees
With the nearest neighbours (Å) after each atom.
Space group R-3m (No. 166, hexagonal axes)
Symmetry-distinct sites (fractional):
Mn (0.0000, 0.0000, 0.0000) x3  6 Al 2.56, 6 Mn 2.84
Al (0.0000, 0.0000, 0.2531) x6  3 Mn 2.56, 3 Si 2.68, 6 Al 2.84
Si (0.0000, 0.0000, 0.5000) x3  6 Al 2.68, 6 Si 2.84

Calculated values
Total magnetic moment in μB per formula unit: 2.1
V in Å³ per cell: 171.2
Electronic total energy in eV for the cell shown: -65.50
Formation energy from raw total energies in kcal/mol of atoms: 1.401

Entry 14:
Density functional theory data (PBE) for a relaxed Mn2AlSi crystal.

Cell lengths 2.6846, 2.6846, 24.0953 Å; angles 90.00, 90.00, 120.00 degrees
With the nearest neighbours (Å) after each atom.
Space group R-3m (No. 166, hexagonal axes)
Symmetry-distinct sites (fractional):
Mn (0.0000, 0.0000, 0.2465) x6  3 Si 2.47, 3 Al 2.60, 6 Mn 2.68
Al (0.0000, 0.0000, 0.0000) x3  6 Mn 2.60, 6 Al 2.68
Si (0.0000, 0.0000, 0.5000) x3  6 Mn 2.47, 6 Si 2.68

Calculated values
Total magnetic moment in μB per formula unit: 3.5
V in Å³ per cell: 150.4
Electronic total energy in eV for the cell shown: -84.01
Formation energy from raw total energies in kcal/mol of atoms: -2.866

Entry 15:
Density functional theory data (PBE) for a relaxed Mn2AlSi crystal.

Cell lengths 5.3259, 6.9271, 2.6696 Å; angles 90.00, 90.00, 90.00 degrees
With the nearest neighbours (Å) after each atom.
Space group Cmmm (No. 65)
Symmetry-distinct sites (fractional):
Mn (0.2500, 0.2500, 0.0000) x4  4 Al 2.56, 4 Si 2.56, 4 Mn 2.66-2.67
Al (0.0000, 0.0000, 0.5000) x2  8 Mn 2.56, 2 Si 2.66, 2 Al 2.67
Si (0.0000, 0.5000, 0.5000) x2  8 Mn 2.56, 2 Al 2.66, 2 Si 2.67

Calculated values
Total magnetic moment in μB per formula unit: 4.1
V in Å³ per cell: 98.5
Electronic total energy in eV for the cell shown: -57.10
Formation energy from raw total energies in kcal/mol of atoms: -6.033

Entry 16:
Density functional theory data (PBE) for a relaxed MnAlSi2 crystal.

Cell lengths 5.1931, 7.3843, 2.7618 Å; angles 90.00, 94.00, 90.00 degrees
With the nearest neighbours (Å) after each atom.
Space group C2/m (No. 12)
Symmetry-distinct sites (fractional):
Mn (0.0000, 0.0000, 0.0000) x2  2 Al 2.60, 8 Si 2.60-2.69, 2 Mn 2.76
Al (0.0000, 0.5000, 0.0000) x2  2 Mn 2.60, 8 Si 2.60-2.69, 2 Al 2.76
Si (0.2500, 0.2500, 0.5000) x4  4 Si 2.60-2.76, 4 Mn 2.60-2.69, 4 Al 2.60-2.69

Calculated values
Total magnetic moment in μB per formula unit: 2.0
V in Å³ per cell: 105.6
Electronic total energy in eV for the cell shown: -46.95
Formation energy from raw total energies in kcal/mol of atoms: 1.642

Entry 17:
Density functional theory data (PBE) for a relaxed Mn2AlSi crystal.

Cell lengths 8.2321, 2.6718, 4.5952 Å; angles 90.00, 100.86, 90.00 degrees
With the nearest neighbours (Å) after each atom.
Space group C2/m (No. 12)
Symmetry-distinct sites (fractional):
Mn (0.2451, 0.0000, 0.2410) x4  3 Si 2.50-2.55, 3 Al 2.53-2.58, 6 Mn 2.60-2.72
Al (0.0000, 0.0000, 0.5000) x2  6 Mn 2.53-2.58, 4 Si 2.66, 2 Al 2.67
Si (0.0000, 0.5000, 0.0000) x2  6 Mn 2.50-2.55, 4 Al 2.66, 2 Si 2.67

Calculated values
Total magnetic moment in μB per formula unit: 3.4
V in Å³ per cell: 99.3
Electronic total energy in eV for the cell shown: -56.22
Formation energy from raw total energies in kcal/mol of atoms: -3.492

Entry 18:
Density functional theory data (PBE) for a relaxed MnAl2Si crystal.

Cell lengths 2.8217, 2.8217, 24.3584 Å; angles 90.00, 90.00, 120.00 degrees
With the nearest neighbours (Å) after each atom.
Space group R3m (No. 160, hexagonal axes)
Symmetry-distinct sites (fractional):
Mn (0.0000, 0.0000, 0.0000) x3  3 Si 2.33, 3 Al 2.52
Al (0.0000, 0.0000, 0.2542) x3  3 Mn 2.52, 6 Al 2.82
Al (0.0000, 0.0000, 0.4925) x3  3 Si 2.75, 9 Al 2.82-2.83
Si (0.0000, 0.0000, 0.7351) x3  3 Mn 2.33

Calculated values
Total magnetic moment in μB per formula unit: 0.5
V in Å³ per cell: 168.0
Electronic total energy in eV for the cell shown: -66.57
Formation energy from raw total energies in kcal/mol of atoms: -0.651

Entry 19:
Density functional theory data (PBE) for a relaxed Mn2AlSi crystal.

Cell lengths 2.8830, 2.8830, 5.7224 Å; angles 90.00, 90.00, 90.00 degrees
With the nearest neighbours (Å) after each atom.
Space group P4/mmm (No. 123)
Symmetry-distinct sites (fractional):
Mn (0.0000, 0.0000, 0.2278) x2  4 Si 2.42, 4 Al 2.57, 1 Mn 2.61
Al (0.5000, 0.5000, 0.5000) x1  8 Mn 2.57, 2 Si 2.86
Si (0.5000, 0.5000, 0.0000) x1  8 Mn 2.42

Calculated values
Total magnetic moment in μB per formula unit: 2.6
V in Å³ per cell: 47.6
Electronic total energy in eV for the cell shown: -28.68
Formation energy from raw total energies in kcal/mol of atoms: -6.778

Entry 20:
Density functional theory data (PBE) for a relaxed Mn3Al5Si crystal.

Cell lengths 2.7561, 13.4522, 13.6849 Å; angles 90.00, 90.00, 90.00 degrees
With the nearest neighbours (Å) after each atom.
Space group Cmcm (No. 63)
Symmetry-distinct sites (fractional):
Mn (0.0000, 0.1266, 0.1022) x8  2 Si 2.48, 6 Al 2.53-2.72, 2 Mn 2.76
Mn (0.0000, 0.3101, 0.2500) x4  2 Si 2.49, 6 Al 2.62-2.64, 2 Mn 2.76
Al (0.0000, 0.0525, 0.6598) x8  7 Al 2.47-2.76, 3 Mn 2.53-2.62
Al (0.0000, 0.3087, 0.0567) x8  4 Mn 2.53-2.72, 7 Al 2.61-2.76
Al (0.0000, 0.5000, 0.0000) x4  4 Mn 2.60, 8 Al 2.68-2.76
Si (0.0000, 0.3442, 0.7500) x4  6 Mn 2.48-2.49, 2 Si 2.76

Calculated values
Total magnetic moment in μB per formula unit: 4.9
V in Å³ per cell: 507.4
Electronic total energy in eV for the cell shown: -209.27
Formation energy from raw total energies in kcal/mol of atoms: -1.726